Crystalline LaMgBr2 at its relaxed geometry. Source: Alexandria, functional PBE-GGA.

The total energy is -48.895 eV for the cell shown. Its uncorrected formation energy is -0.59 eV/atom. The energy above the most stable polymorph in this dataset comes out at 506.7 meV per atom. The density of states at the Fermi level comes out at 4.571 states/eV/f.u.

It has space group F-43m (No. 216), with a = 7.790 Å, b = 7.790 Å, c = 7.790 Å, α = 90.00°, β = 90.00° and γ = 90.00°. The distinct sites, in fractional coordinates, are La at (0.000, 0.000, 0.000), Mg at (0.250, 0.250, 0.250), Br at (0.000, 0.000, 0.500) and Br at (0.250, 0.250, 0.750).

---

Crystalline LaMg2Br at its relaxed geometry. Source: Alexandria, functional PBE-GGA.

The total energy is -22.355 eV for the cell shown. Its uncorrected formation energy is -0.35 eV/atom. The energy above the most stable polymorph in this dataset comes out at 143.1 meV per atom. The density of states at the Fermi level comes out at 2.140 states/eV/f.u.

It has space group Imm2 (No. 44), with a = 4.497 Å, b = 5.202 Å, c = 9.717 Å, α = 90.00°, β = 90.00° and γ = 90.00°. The distinct sites, in fractional coordinates, are La at (0.000, 0.000, 0.000), Mg at (0.000, 0.000, 0.525), Mg at (0.000, 0.500, 0.763) and Br at (0.000, 0.500, 0.258).

---

Crystalline LaMg2Br at its relaxed geometry. Source: Alexandria, functional PBE-GGA.

The total energy is -11.750 eV for the cell shown. Its uncorrected formation energy is -0.49 eV/atom. The energy above the most stable polymorph in this dataset comes out at 0.0 meV per atom. The density of states at the Fermi level comes out at 3.179 states/eV/f.u.

It has space group P4mm (No. 99), with a = 3.647 Å, b = 3.647 Å, c = 9.261 Å, α = 90.00°, β = 90.00° and γ = 90.00°. The distinct sites, in fractional coordinates, are La at (0.000, 0.000, 0.000), Mg at (0.000, 0.000, 0.443), Mg at (0.500, 0.500, 0.263) and Br at (0.500, 0.500, 0.803).

---

Crystalline LaMgBr2 at its relaxed geometry. Source: Alexandria, functional PBE-GGA.

The total energy is -28.033 eV for the cell shown. Its uncorrected formation energy is -1.04 eV/atom. The energy above the most stable polymorph in this dataset comes out at 58.5 meV per atom. The density of states at the Fermi level comes out at 1.661 states/eV/f.u.

It has space group Cm (No. 8), with a = 15.803 Å, b = 3.625 Å, c = 5.112 Å, α = 90.00°, β = 97.80° and γ = 90.00°. The distinct sites, in fractional coordinates, are La at (0.000, 0.000, 0.000), Mg at (0.194, 0.500, 0.035), Br at (0.017, 0.500, 0.505) and Br at (0.334, 0.000, 0.926).

---

Crystalline LaMgBr2 at its relaxed geometry. Source: Alexandria, functional PBE-GGA.

The total energy is -14.237 eV for the cell shown. Its uncorrected formation energy is -1.09 eV/atom. The energy above the most stable polymorph in this dataset comes out at 3.5 meV per atom. The density of states at the Fermi level comes out at 1.088 states/eV/f.u.

It has space group P4/mmm (No. 123), with a = 3.680 Å, b = 3.680 Å, c = 10.005 Å, α = 90.00°, β = 90.00° and γ = 90.00°. The distinct sites, in fractional coordinates, are La at (0.000, 0.000, 0.000), Mg at (0.000, 0.000, 0.500) and Br at (0.500, 0.500, 0.177).

---

Crystalline La2MgBr at its relaxed geometry. Source: Alexandria, functional PBE-GGA.

The total energy is -15.471 eV for the cell shown. Its uncorrected formation energy is -0.59 eV/atom. The energy above the most stable polymorph in this dataset comes out at 37.4 meV per atom. The density of states at the Fermi level comes out at 4.156 states/eV/f.u.

It has space group P4/mmm (No. 123), with a = 3.629 Å, b = 3.629 Å, c = 9.057 Å, α = 90.00°, β = 90.00° and γ = 90.00°. The distinct sites, in fractional coordinates, are La at (0.000, 0.000, 0.248), Mg at (0.500, 0.500, 0.500) and Br at (0.500, 0.500, 0.000).